Compound: NdMg12
Source: Alexandria
Functional: PBE-GGA
Structure: relaxed

Values from the calculation:
raw total energy = -1.879 eV/atom
N(E_F) = 13.87 states/eV/cell

Cell lengths 10.222, 10.222, 6.013 Å; angles 90.00, 90.00, 90.00 degrees
Space group I4/mmm (No. 139)
Asymmetric unit:
Nd 0.000 0.000 0.000 x2
Mg 0.000 0.212 0.500 x8
Mg 0.000 0.350 0.000 x8
Mg 0.250 0.250 0.250 x8

***

Compound: Cs3Ga2Bi2
Source: Alexandria
Functional: PBE-GGA
Structure: relaxed

Values from the calculation:
raw total energy = -2.655 eV/atom
N(E_F) = 4.86 states/eV/cell

Cell lengths 4.617, 6.219, 22.031 Å; angles 90.00, 90.00, 90.00 degrees
Space group Immm (No. 71)
Asymmetric unit:
Cs 0.000 0.000 0.000 x2
Cs 0.000 0.500 0.318 x4
Ga 0.000 0.000 0.444 x4
Bi 0.000 0.500 0.128 x4